The following is a GGA-PBE calculation of a relaxed TbZrAu crystal, from Alexandria via LeMat-Bulk.

Summary:
Excess energy over the best structure of this formula in the dataset: 63 meV/atom
Uncorrected energy: -5.8887 eV per atom
Density of states at the Fermi level: 4.96 states/eV per cell
ΔH_f (0 K): -0.403 eV/atom

Structure (POSCAR):
```
TbZrAu
1.0
-1.716 1.716 6.039
1.716 -1.716 6.039
1.716 1.716 -6.039
Tb Zr Au
1 1 1
direct
0.000 0.000 0.000 Tb
0.312 0.312 0.000 Zr
0.674 0.674 0.000 Au
```

The following is a GGA-PBE calculation of a relaxed Tb2ZrAu crystal, from Alexandria via LeMat-Bulk.

Summary:
Uncorrected energy: -5.6365 eV per atom
Density of states at the Fermi level: 3.00 states/eV per cell
ΔH_f (0 K): -0.365 eV/atom

Structure (POSCAR):
```
Tb2ZrAu
1.0
3.482 0.000 0.000
0.000 3.482 0.000
0.000 0.000 8.392
Tb Zr Au
2 1 1
direct
0.000 0.000 0.228 Tb
0.000 0.000 0.772 Tb
0.500 0.500 0.500 Zr
0.500 0.500 0.000 Au
```

The following is a GGA-PBE calculation of a relaxed TbZrAu crystal, from Alexandria via LeMat-Bulk.

Summary:
Excess energy over the best structure of this formula in the dataset: 226 meV/atom
Uncorrected energy: -5.7258 eV per atom
Density of states at the Fermi level: 3.21 states/eV per cell
ΔH_f (0 K): -0.241 eV/atom

Structure (POSCAR):
```
TbZrAu
1.0
4.678 0.000 0.000
-2.339 4.051 0.000
0.000 0.000 4.020
Tb Zr Au
1 1 1
direct
0.000 0.000 0.000 Tb
0.333 0.667 0.500 Zr
0.667 0.333 0.500 Au
```

The following is a GGA-PBE calculation of a relaxed TbZrAu4 crystal, from Alexandria via LeMat-Bulk.

Summary:
Uncorrected energy: -5.0893 eV per atom
Density of states at the Fermi level: 2.51 states/eV per cell
ΔH_f (0 K): -0.708 eV/atom

Structure (POSCAR):
```
TbZrAu4
1.0
3.678 0.000 0.000
0.000 3.678 0.000
0.000 0.000 8.985
Tb Zr Au
1 1 4
direct
0.000 0.000 0.000 Tb
0.500 0.500 0.500 Zr
0.000 0.000 0.339 Au
0.000 0.000 0.661 Au
0.500 0.500 0.173 Au
0.500 0.500 0.827 Au
```

The following is a GGA-PBE calculation of a relaxed TbZrAu crystal, from Alexandria via LeMat-Bulk.

Summary:
Excess energy over the best structure of this formula in the dataset: 0 meV/atom
Uncorrected energy: -5.9517 eV per atom
Density of states at the Fermi level: 7.47 states/eV per cell
ΔH_f (0 K): -0.466 eV/atom

Structure (POSCAR):
```
TbZrAu
1.0
4.434 0.000 0.000
0.000 4.434 0.000
0.000 0.000 7.450
Tb Zr Au
2 2 2
direct
0.250 0.250 0.143 Tb
0.750 0.750 0.857 Tb
0.250 0.750 0.500 Zr
0.750 0.250 0.500 Zr
0.250 0.250 0.760 Au
0.750 0.750 0.240 Au
```

The following is a GGA-PBE calculation of a relaxed Tc3Au crystal, from Alexandria via LeMat-Bulk.

Summary:
Uncorrected energy: -8.2166 eV per atom
Density of states at the Fermi level: 12.25 states/eV per cell
ΔH_f (0 K): 0.377 eV/atom

Structure (POSCAR):
```
Tc3Au
1.0
4.982 0.000 0.000
0.000 4.982 0.000
0.000 0.000 4.982
Tc Au
6 2
direct
0.000 0.250 0.500 Tc
0.000 0.750 0.500 Tc
0.250 0.500 0.000 Tc
0.500 0.000 0.250 Tc
0.500 0.000 0.750 Tc
0.750 0.500 0.000 Tc
0.000 0.000 0.000 Au
0.500 0.500 0.500 Au
```

The following is a GGA-PBE calculation of a relaxed Tc3Au crystal, from Alexandria via LeMat-Bulk.

Summary:
Uncorrected energy: -8.3371 eV per atom
Density of states at the Fermi level: 4.53 states/eV per cell
ΔH_f (0 K): 0.257 eV/atom

Structure (POSCAR):
```
Tc3Au
1.0
-1.965 1.965 3.926
1.965 -1.965 3.926
1.965 1.965 -3.926
Tc Au
3 1
direct
0.000 0.000 0.000 Tc
0.250 0.750 0.500 Tc
0.750 0.250 0.500 Tc
0.500 0.500 0.000 Au
```

The following is a GGA-PBE calculation of a relaxed Tc3Au crystal, from Alexandria via LeMat-Bulk.

Summary:
Uncorrected energy: -8.2141 eV per atom
Density of states at the Fermi level: 5.55 states/eV per cell
ΔH_f (0 K): 0.380 eV/atom

Structure (POSCAR):
```
Tc3Au
1.0
3.313 0.000 0.000
0.000 3.313 0.000
0.000 0.000 5.750
Tc Au
3 1
direct
0.000 0.000 0.000 Tc
0.500 0.500 0.217 Tc
0.500 0.500 0.783 Tc
0.000 0.000 0.500 Au
```

The following is a GGA-PBE calculation of a relaxed Tc7Au crystal, from Alexandria via LeMat-Bulk.

Summary:
Uncorrected energy: -9.3056 eV per atom
Density of states at the Fermi level: 9.49 states/eV per cell
ΔH_f (0 K): 0.174 eV/atom

Structure (POSCAR):
```
Tc7Au
1.0
0.000 3.903 3.903
3.903 0.000 3.903
3.903 3.903 0.000
Tc Au
7 1
direct
0.000 0.000 0.000 Tc
0.000 0.000 0.500 Tc
0.000 0.500 0.000 Tc
0.000 0.500 0.500 Tc
0.500 0.000 0.000 Tc
0.500 0.000 0.500 Tc
0.500 0.500 0.000 Tc
0.500 0.500 0.500 Au
```

The following is a GGA-PBE calculation of a relaxed TcAu8 crystal, from Alexandria via LeMat-Bulk.

Summary:
Uncorrected energy: -3.8921 eV per atom
Density of states at the Fermi level: 4.00 states/eV per cell
ΔH_f (0 K): 0.173 eV/atom

Structure (POSCAR):
```
TcAu8
1.0
-5.300 5.300 1.436
5.300 -5.300 1.436
5.300 5.300 -1.436
Tc Au
1 8
direct
0.000 0.000 0.000 Tc
0.000 0.334 0.334 Au
0.000 0.666 0.666 Au
0.334 0.000 0.334 Au
0.337 0.337 0.674 Au
0.337 0.663 0.000 Au
0.663 0.337 0.000 Au
0.663 0.663 0.326 Au
0.666 0.000 0.666 Au
```

The following is a GGA-PBE calculation of a relaxed Tc3Au crystal, from Alexandria via LeMat-Bulk.

Summary:
Uncorrected energy: -8.3518 eV per atom
Density of states at the Fermi level: 4.25 states/eV per cell
ΔH_f (0 K): 0.242 eV/atom

Structure (POSCAR):
```
Tc3Au
1.0
3.924 0.000 0.000
0.000 3.924 0.000
0.000 0.000 3.924
Tc Au
3 1
direct
0.000 0.000 0.500 Tc
0.000 0.500 0.000 Tc
0.500 0.000 0.000 Tc
0.500 0.500 0.500 Au
```

The following is a GGA-PBE calculation of a relaxed Tc5Au4 crystal, from Alexandria via LeMat-Bulk.

Summary:
Uncorrected energy: -7.0049 eV per atom
Density of states at the Fermi level: 6.74 states/eV per cell
ΔH_f (0 K): 0.211 eV/atom

Structure (POSCAR):
```
Tc5Au4
1.0
-4.243 4.243 1.994
4.243 -4.243 1.994
4.243 4.243 -1.994
Tc Au
5 4
direct
0.000 0.000 0.000 Tc
0.347 0.347 0.695 Tc
0.347 0.653 0.000 Tc
0.653 0.347 0.000 Tc
0.653 0.653 0.305 Tc
0.000 0.325 0.325 Au
0.000 0.675 0.675 Au
0.325 0.000 0.325 Au
0.675 0.000 0.675 Au
```

> Which value of ΔH_f (0 K) does entry 2 give?

-0.365 eV/atom